Material: CuGeS4
Method: DFT, GGA-PBE
State: optimized geometry

Properties
Uncorrected energy (eV for the cell shown): -50.18
DOS at the Fermi energy (states/eV per cell): 3.8
Raw formation energy (kJ/mol of formula units): 13
Total magnetization (μB/f.u.): 0.00

The structure in CIF format:
```
data_CuGeS4
_cell_length_a 11.346
_cell_length_b 3.480
_cell_length_c 6.119
_cell_angle_alpha 90.00
_cell_angle_beta 120.10
_cell_angle_gamma 90.00
_symmetry_space_group_name_H-M 'C 1 2/m 1'
_symmetry_Int_Tables_number 12
loop_
_symmetry_equiv_pos_as_xyz
'x,y,z'
'-x,-y,-z'
'-x,y,-z'
'x,-y,z'
'x+1/2,y+1/2,z'
'-x+1/2,-y+1/2,-z'
'-x+1/2,y+1/2,-z'
'x+1/2,-y+1/2,z'
loop_
_atom_site_label
_atom_site_type_symbol
_atom_site_fract_x
_atom_site_fract_y
_atom_site_fract_z
_atom_site_occupancy
Cu1 Cu 0.000 0.000 0.000 1
Ge1 Ge 0.000 0.500 0.500 1
S1 S 0.123 0.000 0.426 1
S2 S 0.149 0.500 0.962 1
```